A plane-wave DFT calculation with PBE was carried out for an optimized crystal structure of UPbSe.

Calculated values
- Offset from the most stable computed form: 51 meV per atom
- Total energy: -6.320 eV/atom
- Formation energy from raw total energies: -0.16 eV/atom

CIF file:
```
data_UPbSe
_chemical_formula_sum 'U1 Pb1 Se1'
_cell_length_a 3.5343
_cell_length_b 3.5343
_cell_length_c 7.6963
_cell_angle_alpha 90.00
_cell_angle_beta 90.00
_cell_angle_gamma 120.00
_space_group_name_H-M_alt 'P 3 m 1'
_space_group_IT_number 156
loop_
_space_group_symop_operation_xyz
'x,y,z'
'-y,x-y,z'
'-x+y,-x,z'
'-y,-x,z'
'-x+y,y,z'
'x,x-y,z'
loop_
_atom_site_label
_atom_site_type_symbol
_atom_site_fract_x
_atom_site_fract_y
_atom_site_fract_z
_atom_site_occupancy
U1 U 0.0000 0.0000 0.0000 1
Pb1 Pb 0.3333 0.6667 0.6268 1
Se1 Se 0.6667 0.3333 0.2492 1
```



A plane-wave DFT calculation with PBE was carried out for an optimized crystal structure of Sr2InGaNi.

Calculated values
- Total energy: -3.197 eV/atom
- Energy of formation: -215 meV/atom

CIF file:
```
data_Sr2InGaNi
_chemical_formula_sum 'Sr2 In1 Ga1 Ni1'
_cell_length_a 5.733
_cell_length_b 5.733
_cell_length_c 4.592
_cell_angle_alpha 90.00
_cell_angle_beta 90.00
_cell_angle_gamma 90.00
_space_group_name_H-M_alt 'P 4/m m m'
_space_group_IT_number 123
_space_group_name_Hall '-P 4 2'
loop_
_atom_site_label
_atom_site_type_symbol
_atom_site_fract_x
_atom_site_fract_y
_atom_site_fract_z
_atom_site_occupancy
Sr1 Sr 0.000 0.500 0.000 1
In1 In 0.000 0.000 0.500 1
Ga1 Ga 0.500 0.500 0.500 1
Ni1 Ni 0.500 0.500 0.000 1
```



A plane-wave DFT calculation with PBE was carried out for an optimized crystal structure of Cs2HgPPd.

Calculated values
- Offset from the most stable computed form: 646 meV per atom
- Total energy: -2.127 eV/atom
- Energy of formation: 395 meV/atom

CIF file:
```
data_Cs2HgPPd
_chemical_formula_sum 'Cs2 Hg1 P1 Pd1'
_cell_length_a 6.951
_cell_length_b 6.951
_cell_length_c 5.148
_cell_angle_alpha 90.00
_cell_angle_beta 90.00
_cell_angle_gamma 90.00
_space_group_name_H-M_alt 'P 4/m m m'
_space_group_IT_number 123
_space_group_name_Hall '-P 4 2'
loop_
_atom_site_label
_atom_site_type_symbol
_atom_site_fract_x
_atom_site_fract_y
_atom_site_fract_z
_atom_site_occupancy
Cs1 Cs 0.000 0.500 0.000 1
Hg1 Hg 0.000 0.000 0.000 1
P1 P 0.500 0.500 0.500 1
Pd1 Pd 0.000 0.000 0.500 1
```



A plane-wave DFT calculation with PBE was carried out for an optimized crystal structure of GaGe2BiIr.

Calculated values
- Total energy: -3.699 eV/atom
- Energy of formation: 1302 meV/atom

CIF file:
```
data_GaGe2BiIr
_chemical_formula_sum 'Ga1 Ge2 Bi1 Ir1'
_cell_length_a 5.526
_cell_length_b 5.526
_cell_length_c 5.052
_cell_angle_alpha 90.00
_cell_angle_beta 90.00
_cell_angle_gamma 90.00
_space_group_name_H-M_alt 'P 4/m m m'
_space_group_IT_number 123
_space_group_name_Hall '-P 4 2'
loop_
_atom_site_label
_atom_site_type_symbol
_atom_site_fract_x
_atom_site_fract_y
_atom_site_fract_z
_atom_site_occupancy
Ga1 Ga 0.000 0.000 0.000 1
Ge1 Ge 0.000 0.500 0.500 1
Bi1 Bi 0.500 0.500 0.500 1
Ir1 Ir 0.500 0.500 0.000 1
```



A plane-wave DFT calculation with PBE was carried out for an optimized crystal structure of TaSiIr2.

Calculated values
- Total energy: -9.149 eV/atom
- Formation energy from raw total energies: -0.40 eV/atom

CIF file:
```
data_TaSiIr2
_chemical_formula_sum 'Ta1 Si1 Ir2'
_cell_length_a 3.977
_cell_length_b 3.977
_cell_length_c 3.786
_cell_angle_alpha 90.00
_cell_angle_beta 90.00
_cell_angle_gamma 90.00
_space_group_name_H-M_alt 'P 4/m m m'
_space_group_IT_number 123
_space_group_name_Hall '-P 4 2'
loop_
_atom_site_label
_atom_site_type_symbol
_atom_site_fract_x
_atom_site_fract_y
_atom_site_fract_z
_atom_site_occupancy
Ta1 Ta 0.000 0.000 0.000 1
Si1 Si 0.500 0.500 0.000 1
Ir1 Ir 0.000 0.500 0.500 1
```



A plane-wave DFT calculation with PBE was carried out for an optimized crystal structure of K5NaP2.

Calculated values
- Total energy: -2.411 eV/atom
- Energy of formation: -207 meV/atom

CIF file:
```
data_K5NaP2
_chemical_formula_sum 'K10 Na2 P4'
_cell_length_a 5.7732
_cell_length_b 5.7732
_cell_length_c 20.0020
_cell_angle_alpha 90.00
_cell_angle_beta 90.00
_cell_angle_gamma 120.00
_space_group_name_H-M_alt 'P 63/m m c'
_space_group_IT_number 194
_space_group_name_Hall '-P 6c 2c'
loop_
_atom_site_label
_atom_site_type_symbol
_atom_site_fract_x
_atom_site_fract_y
_atom_site_fract_z
_atom_site_occupancy
K1 K 0.0000 0.0000 0.1244 1
K2 K 0.3333 0.6667 0.0499 1
K3 K 0.3333 0.6667 0.2500 1
Na1 Na 0.3333 0.6667 0.7500 1
P1 P 0.3333 0.6667 0.6156 1
```



A plane-wave DFT calculation with PBE was carried out for an optimized crystal structure of NiBAsSe2.

Calculated values
- Offset from the most stable computed form: 0 meV per atom
- Total energy: -3.900 eV/atom
- Formation energy from raw total energies: 0.92 eV/atom

CIF file:
```
data_NiBAsSe2
_chemical_formula_sum 'Ni1 B1 As1 Se2'
_cell_length_a 4.509
_cell_length_b 4.509
_cell_length_c 4.144
_cell_angle_alpha 90.00
_cell_angle_beta 90.00
_cell_angle_gamma 90.00
_space_group_name_H-M_alt 'P 4/m m m'
_space_group_IT_number 123
_space_group_name_Hall '-P 4 2'
loop_
_atom_site_label
_atom_site_type_symbol
_atom_site_fract_x
_atom_site_fract_y
_atom_site_fract_z
_atom_site_occupancy
Ni1 Ni 0.000 0.000 0.000 1
B1 B 0.500 0.500 0.500 1
As1 As 0.500 0.500 0.000 1
Se1 Se 0.000 0.500 0.500 1
```



A plane-wave DFT calculation with PBE was carried out for an optimized crystal structure of CuNi2Ir.

Calculated values
- Total energy: -6.041 eV/atom
- Energy of formation: 89 meV/atom

CIF file:
```
data_CuNi2Ir
_chemical_formula_sum 'Cu1 Ni2 Ir1'
_cell_length_a 4.474
_cell_length_b 2.592
_cell_length_c 4.490
_cell_angle_alpha 90.00
_cell_angle_beta 110.01
_cell_angle_gamma 90.00
_space_group_name_H-M_alt 'P 1 2/m 1'
_space_group_IT_number 10
loop_
_space_group_symop_operation_xyz
'x,y,z'
'-x,-y,-z'
'-x,y,-z'
'x,-y,z'
loop_
_atom_site_label
_atom_site_type_symbol
_atom_site_fract_x
_atom_site_fract_y
_atom_site_fract_z
_atom_site_occupancy
Cu1 Cu 0.000 0.000 0.000 1
Ni1 Ni 0.500 0.000 0.500 1
Ni2 Ni 0.500 0.500 0.000 1
Ir1 Ir 0.000 0.500 0.500 1
```



no.,DOS at the Fermi energy (states/eV per atom)
1,1.99
2,0.97
3,0.57
4,0.74
5,0.48
6,1.29
7,0.74
8,1.71